Zr3Ni2Sb4Pd2 (PBE-GGA, relaxed); total DFT energy (no corrections) = -70.537 eV for the cell shown; SG = Pm, No. 6
1.0
6.910 0.000 0.000
0.000 4.160 0.000
-0.054 0.000 7.782
Zr Ni Sb Pd
3 2 4 2
Direct
0.000 0.000 0.000
0.065 0.500 0.596
0.542 0.500 0.498
0.137 0.500 0.241
0.912 0.000 0.355
0.284 0.000 0.374
0.291 0.500 0.936
0.762 0.500 0.195
0.780 0.000 0.667
0.368 0.000 0.730
0.680 0.500 0.864


ScNi2Pd (PBE-GGA, relaxed); E_form = -0.40 eV per atom; SG = F-43m, No. 216
1.0
0.000 3.062 3.062
3.062 0.000 3.062
3.062 3.062 0.000
Sc Ni Pd
1 2 1
Direct
0.000 0.000 0.000
0.500 0.500 0.500
0.750 0.750 0.750
0.250 0.250 0.250